NaAu3 PBE optimized geometry; energy relative to the elements = -0.277 eV per atom; SG = No. 194; density of states at the Fermi level = 0.8 states/eV/f.u.
1.0
5.596 0.000 0.000
-2.798 4.847 0.000
0.000 0.000 18.559
Na Au
6 18
direct
0.333 0.667 0.034 Na
0.333 0.667 0.250 Na
0.333 0.667 0.466 Na
0.667 0.333 0.534 Na
0.667 0.333 0.750 Na
0.667 0.333 0.966 Na
0.000 0.000 0.000 Au
0.000 0.000 0.250 Au
0.000 0.000 0.500 Au
0.000 0.000 0.750 Au
0.169 0.337 0.623 Au
0.169 0.337 0.877 Au
0.169 0.831 0.623 Au
0.169 0.831 0.877 Au
0.333 0.667 0.750 Au
0.337 0.169 0.123 Au
0.337 0.169 0.377 Au
0.663 0.831 0.623 Au
0.663 0.831 0.877 Au
0.667 0.333 0.250 Au
0.831 0.169 0.123 Au
0.831 0.169 0.377 Au
0.831 0.663 0.123 Au
0.831 0.663 0.377 Au

DyCd2Au8 PBE optimized geometry; energy relative to the elements = -0.329 eV per atom; SG = No. 12; density of states at the Fermi level = 3.3 states/eV/f.u.
1.0
7.601 -2.146 0.000
7.601 2.146 0.000
-1.836 0.000 6.494
Dy Cd Au
1 2 8
direct
0.000 0.000 0.000 Dy
0.275 0.275 0.352 Cd
0.725 0.725 0.648 Cd
0.095 0.095 0.458 Au
0.182 0.182 0.912 Au
0.362 0.362 0.811 Au
0.457 0.457 0.276 Au
0.543 0.543 0.724 Au
0.638 0.638 0.189 Au
0.818 0.818 0.088 Au
0.905 0.905 0.542 Au

LuZnInPt PBE optimized geometry; energy relative to the elements = -0.663 eV per atom; SG = No. 216; density of states at the Fermi level = 1.5 states/eV/f.u.
1.0
0.000 3.364 3.364
3.364 0.000 3.364
3.364 3.364 0.000
Lu Zn In Pt
1 1 1 1
direct
0.000 0.000 0.000 Lu
0.250 0.250 0.250 Zn
0.500 0.500 0.500 In
0.750 0.750 0.750 Pt

Ta2PPbAu PBE optimized geometry; energy relative to the elements = 1.504 eV per atom; SG = No. 123; density of states at the Fermi level = 7.7 states/eV/f.u.
1.0
5.168 0.000 0.000
0.000 5.168 0.000
0.000 0.000 4.530
Ta P Pb Au
2 1 1 1
direct
0.000 0.500 0.000 Ta
0.500 0.000 0.000 Ta
0.000 0.000 0.500 P
0.500 0.500 0.500 Pb
0.000 0.000 0.000 Au

Al2InTc PBE optimized geometry; energy relative to the elements = 0.106 eV per atom; SG = No. 10; density of states at the Fermi level = 2.0 states/eV/f.u.
1.0
2.942 0.000 0.000
0.000 4.649 0.000
-0.206 0.000 5.040
Al In Tc
2 1 1
direct
0.229 0.000 0.277 Al
0.771 0.000 0.723 Al
0.000 0.500 0.000 In
0.500 0.500 0.500 Tc

NdErCd14 PBE optimized geometry; energy relative to the elements = -0.139 eV per atom; SG = No. 123; density of states at the Fermi level = 5.1 states/eV/f.u.
1.0
6.639 0.000 0.000
0.000 6.639 0.000
0.000 0.000 8.493
Nd Er Cd
1 1 14
direct
0.000 0.000 0.000 Nd
0.500 0.500 0.000 Er
0.000 0.000 0.500 Cd
0.000 0.500 0.000 Cd
0.000 0.500 0.500 Cd
0.253 0.253 0.260 Cd
0.253 0.253 0.740 Cd
0.253 0.747 0.260 Cd
0.253 0.747 0.740 Cd
0.500 0.000 0.000 Cd
0.500 0.000 0.500 Cd
0.500 0.500 0.500 Cd
0.747 0.253 0.260 Cd
0.747 0.253 0.740 Cd
0.747 0.747 0.260 Cd
0.747 0.747 0.740 Cd

Zn8Cu3 PBE optimized geometry; energy relative to the elements = 0.124 eV per atom; SG = No. 221; density of states at the Fermi level = 4.0 states/eV/f.u.
1.0
5.683 0.000 0.000
0.000 5.683 0.000
0.000 0.000 5.683
Zn Cu
8 3
direct
0.239 0.239 0.239 Zn
0.239 0.239 0.761 Zn
0.239 0.761 0.239 Zn
0.239 0.761 0.761 Zn
0.761 0.239 0.239 Zn
0.761 0.239 0.761 Zn
0.761 0.761 0.239 Zn
0.761 0.761 0.761 Zn
0.000 0.500 0.500 Cu
0.500 0.000 0.500 Cu
0.500 0.500 0.000 Cu

PmSm3Sc6 PBE optimized geometry; energy relative to the elements = 0.161 eV per atom; SG = No. 36; density of states at the Fermi level = 14.0 states/eV/f.u.
1.0
5.300 -8.913 0.000
5.300 8.913 0.000
0.000 0.000 5.955
Pm Sm Sc
2 6 12
direct
0.224 0.776 0.500 Pm
0.776 0.224 0.000 Pm
0.077 0.284 0.724 Sm
0.284 0.077 0.224 Sm
0.415 0.585 0.619 Sm
0.585 0.415 0.119 Sm
0.716 0.923 0.724 Sm
0.923 0.716 0.224 Sm
0.002 0.443 0.341 Sc
0.056 0.944 0.757 Sc
0.252 0.370 0.196 Sc
0.311 0.689 0.058 Sc
0.370 0.252 0.696 Sc
0.443 0.002 0.841 Sc
0.557 0.998 0.341 Sc
0.630 0.748 0.196 Sc
0.689 0.311 0.558 Sc
0.748 0.630 0.696 Sc
0.944 0.056 0.257 Sc
0.998 0.557 0.841 Sc